# RbHoFe | OQMD via LeMat-Bulk | PBE | relaxed
# E ... -3.0817 eV per atom
data_RbHoFe
_symmetry_space_group_name_H-M 'F -4 3 m'
_symmetry_Int_Tables_number 216
_symmetry_space_group_name_Hall 'F -4 2 3'
_cell_length_a 7.3593
_cell_length_b 7.3593
_cell_length_c 7.3593
_cell_angle_alpha 90.00
_cell_angle_beta 90.00
_cell_angle_gamma 90.00
loop_
_atom_site_label
_atom_site_type_symbol
_atom_site_fract_x
_atom_site_fract_y
_atom_site_fract_z
_atom_site_occupancy
Rb1 Rb 0.0000 0.0000 0.0000 1
Ho1 Ho 0.2500 0.2500 0.7500 1
Fe1 Fe 0.0000 0.0000 0.5000 1

# RbHoFeS3 | OQMD via LeMat-Bulk | PBE | relaxed
# E ... -5.7172 eV per atom
data_RbHoFeS3
_symmetry_space_group_name_H-M 'P 1 21/m 1'
_symmetry_Int_Tables_number 11
_cell_length_a 8.9324
_cell_length_b 3.9565
_cell_length_c 9.6402
_cell_angle_alpha 90.00
_cell_angle_beta 110.09
_cell_angle_gamma 90.00
loop_
_symmetry_equiv_pos_as_xyz
'x,y,z'
'-x,-y,-z'
'-x,y+1/2,-z'
'x,-y+1/2,z'
loop_
_atom_site_label
_atom_site_type_symbol
_atom_site_fract_x
_atom_site_fract_y
_atom_site_fract_z
_atom_site_occupancy
Rb1 Rb 0.2200 0.2500 0.2484 1
Ho1 Ho 0.3312 0.7500 0.8551 1
Fe1 Fe 0.0757 0.2500 0.5940 1
S1 S 0.1119 0.2500 0.8403 1
S2 S 0.1982 0.7500 0.5434 1
S3 S 0.4636 0.7500 0.1510 1

# HoFeRe | OQMD via LeMat-Bulk | PBE | relaxed
# Formation energy from the elements ... 159.6 kJ/mol of formula units
data_HoFeRe
_symmetry_space_group_name_H-M 'F -4 3 m'
_symmetry_Int_Tables_number 216
_symmetry_space_group_name_Hall 'F -4 2 3'
_cell_length_a 6.0519
_cell_length_b 6.0519
_cell_length_c 6.0519
_cell_angle_alpha 90.00
_cell_angle_beta 90.00
_cell_angle_gamma 90.00
loop_
_atom_site_label
_atom_site_type_symbol
_atom_site_fract_x
_atom_site_fract_y
_atom_site_fract_z
_atom_site_occupancy
Ho1 Ho 0.0000 0.0000 0.0000 1
Fe1 Fe 0.2500 0.2500 0.2500 1
Re1 Re 0.0000 0.0000 0.5000 1

# HoFeRe | OQMD via LeMat-Bulk | PBE | relaxed
# Formation energy from the elements ... 468.8 kJ/mol of formula units
data_HoFeRe
_symmetry_space_group_name_H-M 'F -4 3 m'
_symmetry_Int_Tables_number 216
_symmetry_space_group_name_Hall 'F -4 2 3'
_cell_length_a 6.3135
_cell_length_b 6.3135
_cell_length_c 6.3135
_cell_angle_alpha 90.00
_cell_angle_beta 90.00
_cell_angle_gamma 90.00
loop_
_atom_site_label
_atom_site_type_symbol
_atom_site_fract_x
_atom_site_fract_y
_atom_site_fract_z
_atom_site_occupancy
Ho1 Ho 0.0000 0.0000 0.0000 1
Fe1 Fe 0.2500 0.2500 0.7500 1
Re1 Re 0.2500 0.2500 0.2500 1

# HoTlFeS3 | OQMD via LeMat-Bulk | PBE | relaxed
# E ... -5.6685 eV per atom
data_HoTlFeS3
_symmetry_space_group_name_H-M 'P 1 21/m 1'
_symmetry_Int_Tables_number 11
_cell_length_a 8.3115
_cell_length_b 3.9154
_cell_length_c 10.0616
_cell_angle_alpha 90.00
_cell_angle_beta 109.88
_cell_angle_gamma 90.00
loop_
_symmetry_equiv_pos_as_xyz
'x,y,z'
'-x,-y,-z'
'-x,y+1/2,-z'
'x,-y+1/2,z'
loop_
_atom_site_label
_atom_site_type_symbol
_atom_site_fract_x
_atom_site_fract_y
_atom_site_fract_z
_atom_site_occupancy
Ho1 Ho 0.1762 0.2500 0.1458 1
Tl1 Tl 0.2531 0.7500 0.7203 1
Fe1 Fe 0.4265 0.7500 0.4103 1
S1 S 0.0529 0.2500 0.8623 1
S2 S 0.2855 0.2500 0.4450 1
S3 S 0.4158 0.7500 0.1802 1

# HoTlFeS3 | OQMD via LeMat-Bulk | PBE | relaxed
# E ... -5.6065 eV per atom
data_HoTlFeS3
_symmetry_space_group_name_H-M 'P n m a'
_symmetry_Int_Tables_number 62
_cell_length_a 10.9674
_cell_length_b 4.0877
_cell_length_c 11.9200
_cell_angle_alpha 90.00
_cell_angle_beta 90.00
_cell_angle_gamma 90.00
loop_
_symmetry_equiv_pos_as_xyz
'x,y,z'
'-x,-y,-z'
'-x+1/2,-y,z+1/2'
'x+1/2,y,-z+1/2'
'x+1/2,-y+1/2,-z+1/2'
'-x+1/2,y+1/2,z+1/2'
'-x,y+1/2,-z'
'x,-y+1/2,z'
loop_
_atom_site_label
_atom_site_type_symbol
_atom_site_fract_x
_atom_site_fract_y
_atom_site_fract_z
_atom_site_occupancy
Ho1 Ho 0.0207 0.2500 0.1673 1
Tl1 Tl 0.1630 0.2500 0.5090 1
Fe1 Fe 0.2471 0.2500 0.7976 1
S1 S 0.0471 0.7500 0.3185 1
S2 S 0.1057 0.2500 0.9423 1
S3 S 0.2171 0.7500 0.7051 1

# Ho3Tm3FeSb2 | OQMD via LeMat-Bulk | PBE | relaxed
# E ... -5.4304 eV per atom
data_Ho3Tm3FeSb2
_symmetry_space_group_name_H-M 'P -6 2 m'
_symmetry_Int_Tables_number 189
_symmetry_space_group_name_Hall 'P -6 -2'
_cell_length_a 8.1076
_cell_length_b 8.1076
_cell_length_c 4.1098
_cell_angle_alpha 90.00
_cell_angle_beta 90.00
_cell_angle_gamma 120.00
loop_
_atom_site_label
_atom_site_type_symbol
_atom_site_fract_x
_atom_site_fract_y
_atom_site_fract_z
_atom_site_occupancy
Ho1 Ho 0.0000 0.3947 0.0000 1
Tm1 Tm 0.0000 0.7678 0.5000 1
Fe1 Fe 0.0000 0.0000 0.0000 1
Sb1 Sb 0.3333 0.6667 0.5000 1

# Ho3Tm3FeSb2 | OQMD via LeMat-Bulk | PBE | relaxed
# E ... -5.3904 eV per atom
data_Ho3Tm3FeSb2
_symmetry_space_group_name_H-M 'P -6 2 m'
_symmetry_Int_Tables_number 189
_symmetry_space_group_name_Hall 'P -6 -2'
_cell_length_a 8.1346
_cell_length_b 8.1346
_cell_length_c 4.0824
_cell_angle_alpha 90.00
_cell_angle_beta 90.00
_cell_angle_gamma 120.00
loop_
_atom_site_label
_atom_site_type_symbol
_atom_site_fract_x
_atom_site_fract_y
_atom_site_fract_z
_atom_site_occupancy
Ho1 Ho 0.0000 0.7669 0.0000 1
Tm1 Tm 0.0000 0.3970 0.5000 1
Fe1 Fe 0.0000 0.0000 0.5000 1
Sb1 Sb 0.3333 0.6667 0.0000 1

What spin magnetization values result from the calculations? In sequence: 0.598 0.667 0.005 1.394 0.643 0.666 0.076 0.003 μB per atom.